Below is a relaxed structure of NpSnOs, with properties calculated at the PBE level.

volume: 287.05 Å³/cell
crystal system: cubic
calculated total energy: -8.44 eV/atom

a = 6.597 Å, b = 6.597 Å, c = 6.597 Å
α = 90.00°, β = 90.00°, γ = 90.00°
Space group F-43m (No. 216)
Inequivalent atoms, fractional coordinates:
Np: 0.000 0.000 0.000 x4
Sn: 0.250 0.250 0.250 x4
Os: 0.000 0.000 0.500 x4


Below is a relaxed structure of NpSnOs, with properties calculated at the PBE level.

volume: 288.98 Å³/cell
crystal system: cubic
calculated total energy: -8.39 eV/atom

a = 6.611 Å, b = 6.611 Å, c = 6.611 Å
α = 90.00°, β = 90.00°, γ = 90.00°
Space group F-43m (No. 216)
Inequivalent atoms, fractional coordinates:
Np: 0.000 0.000 0.000 x4
Sn: 0.250 0.250 0.250 x4
Os: 0.250 0.250 0.750 x4


Below is a relaxed structure of SrNpOs, with properties calculated at the PBE level.

volume: 326.84 Å³/cell
crystal system: cubic
calculated total energy: -7.83 eV/atom

a = 6.888 Å, b = 6.888 Å, c = 6.888 Å
α = 90.00°, β = 90.00°, γ = 90.00°
Space group F-43m (No. 216)
Inequivalent atoms, fractional coordinates:
Sr: 0.000 0.000 0.000 x4
Np: 0.000 0.000 0.500 x4
Os: 0.250 0.250 0.750 x4